NaSmCoO4: relaxed, PBE+U.

Its total moment is 6.0 μB/cell. Its total energy is -44.04 eV/f.u. As for the crystal system: tetragonal.

It has space group P4/nmm (No. 129, origin choice 2), with a = 3.627 Å, b = 3.627 Å, c = 12.637 Å, α = 90.00°, β = 90.00° and γ = 90.00°. The inequivalent atoms are Na at (0.250, 0.250, 0.094), Sm at (0.250, 0.250, 0.388), Co at (0.250, 0.250, 0.776), O at (0.250, 0.250, 0.572), O at (0.250, 0.250, 0.912) and O at (0.250, 0.750, 0.262).